(1)
FeSi3: optimized geometry, PBE.

Cell: 7.7194 7.7194 3.0433 Å, 90.00 90.00 120.00°
Element x y z (fractional)
Fe (0.0000, 0.0000, 0.0000)
Fe (0.3333, 0.6667, 0.6667)
Fe (0.6667, 0.3333, 0.3333)
Si (0.0000, 0.5000, 0.0000)
Si (0.1667, 0.3333, 0.3333)
Si (0.1667, 0.8333, 0.3333)
Si (0.3333, 0.1667, 0.6667)
Si (0.5000, 0.0000, 0.0000)
Si (0.5000, 0.5000, 0.0000)
Si (0.6667, 0.8333, 0.3333)
Si (0.8333, 0.1667, 0.6667)
Si (0.8333, 0.6667, 0.6667)

## Properties
Theoretical density (Mg/m³): 4.444
E (Ry per atom): -0.4306

=====

(2)
Fe4Si: optimized geometry, PBE.

Cell: 5.4947 5.4947 3.7762 Å, 90.00 90.00 90.00°
Element x y z (fractional)
Fe (0.1033, 0.2974, 0.0000)
Fe (0.2026, 0.6033, 0.5000)
Fe (0.2974, 0.8967, 0.0000)
Fe (0.3967, 0.2026, 0.5000)
Fe (0.6033, 0.7974, 0.5000)
Fe (0.7026, 0.1033, 0.0000)
Fe (0.7974, 0.3967, 0.5000)
Fe (0.8967, 0.7026, 0.0000)
Si (0.0000, 0.0000, 0.5000)
Si (0.5000, 0.5000, 0.0000)

## Properties
Theoretical density (Mg/m³): 7.325
E (Ry per atom): -0.5892
E above lowest polymorph (meV per atom): 0

=====

(3)
Fe3Si5: optimized geometry, PBE.

Cell: 6.8128 7.0019 3.8049 Å, 90.00 90.00 90.00°
Element x y z (fractional)
Fe (0.0000, 0.0000, 0.0000)
Fe (0.1933, 0.5000, 0.5000)
Fe (0.3067, 0.0000, 0.5000)
Fe (0.5000, 0.5000, 0.0000)
Fe (0.6933, 0.0000, 0.5000)
Fe (0.8067, 0.5000, 0.5000)
Si (0.0000, 0.2011, 0.5000)
Si (0.0000, 0.5000, 0.0000)
Si (0.0000, 0.7989, 0.5000)
Si (0.2500, 0.2500, 0.0000)
Si (0.2500, 0.7500, 0.0000)
Si (0.5000, 0.0000, 0.0000)
Si (0.5000, 0.2989, 0.5000)
Si (0.5000, 0.7011, 0.5000)
Si (0.7500, 0.2500, 0.0000)
Si (0.7500, 0.7500, 0.0000)

## Properties
Theoretical density (Mg/m³): 5.635
E (Ry per atom): -0.4935
E above lowest polymorph (meV per atom): 69

=====

Q: Look up the theoretical density of the third one.
A: 5.635 Mg/m³

=====

Please write out number 3 again, unchanged.
Fe3Si5: optimized geometry, PBE.

Cell: 6.8128 7.0019 3.8049 Å, 90.00 90.00 90.00°
Element x y z (fractional)
Fe (0.0000, 0.0000, 0.0000)
Fe (0.1933, 0.5000, 0.5000)
Fe (0.3067, 0.0000, 0.5000)
Fe (0.5000, 0.5000, 0.0000)
Fe (0.6933, 0.0000, 0.5000)
Fe (0.8067, 0.5000, 0.5000)
Si (0.0000, 0.2011, 0.5000)
Si (0.0000, 0.5000, 0.0000)
Si (0.0000, 0.7989, 0.5000)
Si (0.2500, 0.2500, 0.0000)
Si (0.2500, 0.7500, 0.0000)
Si (0.5000, 0.0000, 0.0000)
Si (0.5000, 0.2989, 0.5000)
Si (0.5000, 0.7011, 0.5000)
Si (0.7500, 0.2500, 0.0000)
Si (0.7500, 0.7500, 0.0000)

## Properties
Theoretical density (Mg/m³): 5.635
E (Ry per atom): -0.4935
E above lowest polymorph (meV per atom): 69